Compound: KGaSe2
Source: the Alexandria database
Functional: SCAN
Structure: PBEsol geometry

Uncorrected energy in eV per atom: -16.76
DOS at the Fermi energy in states/eV/cell: 1.85

Structure (CIF):
```
data_KGaSe2
_chemical_formula_sum 'K3 Ga3 Se6'
_space_group_name_H-M_alt 'R -3 m'
_space_group_IT_number 166
_space_group_name_Hall '-R 3 2"'
_cell_length_a 3.8364
_cell_length_b 3.8364
_cell_length_c 26.3946
_cell_angle_alpha 90.00
_cell_angle_beta 90.00
_cell_angle_gamma 120.00
loop_
_atom_site_label
_atom_site_type_symbol
_atom_site_fract_x
_atom_site_fract_y
_atom_site_fract_z
K1 K 0.0000 0.0000 0.0000
Ga1 Ga 0.0000 0.0000 0.5000
Se1 Se 0.0000 0.0000 0.1138
```